First-principles (PBE-GGA) data for crystalline PmDyCoIr at its relaxed geometry, as listed in Alexandria.

a = 4.869 Å, b = 4.869 Å, c = 4.869 Å
α = 60.00°, β = 60.00°, γ = 60.00°
Positions (direct):
Dy (0.750, 0.750, 0.750)
Ir (0.500, 0.500, 0.500)
Co (0.000, 0.000, 0.000)
Pm (0.250, 0.250, 0.250)

## Properties
SG: F-43m
Total energy in eV/atom: -6.74
DFT formation energy in meV/atom: -409
Magnetization in μB/f.u.: 0.55

First-principles (PBE-GGA) data for crystalline PrDyCoIr at its relaxed geometry, as listed in Alexandria.

a = 4.909 Å, b = 4.909 Å, c = 4.909 Å
α = 60.00°, β = 60.00°, γ = 60.00°
Positions (direct):
Co (0.500, 0.500, 0.500)
Ir (0.000, 0.000, 0.000)
Pr (0.250, 0.250, 0.250)
Dy (0.750, 0.750, 0.750)

## Properties
SG: F-43m
Total energy in eV/atom: -6.68
DFT formation energy in meV/atom: -348
Magnetization in μB/f.u.: 0.56

First-principles (PBE-GGA) data for crystalline DyCoSi2Ir at its relaxed geometry, as listed in Alexandria.

a = 3.975 Å, b = 3.975 Å, c = 5.713 Å
α = 110.36°, β = 110.36°, γ = 90.00°
Positions (direct):
Co (0.250, 0.750, 0.500)
Si (0.377, 0.377, 0.753)
Si (0.623, 0.623, 0.247)
Dy (0.000, 0.000, 0.000)
Ir (0.750, 0.250, 0.500)

## Properties
SG: I-4m2
Total energy in eV/atom: -7.24
Formation energy without anion corrections in eV/atom: -0.95
Magnetization in μB/f.u.: 0.00

The highest magnetization belongs to which entry?
PrDyCoIr